No. 1
## LaAlSi2Au6 (PBE)

Data for a relaxed LaAlSi2Au6 crystal.

DFT total energy = -4.035 eV/atom

Lattice parameters (Å, degrees): 6.6752 6.6752 20.5292 90.00 90.00 120.00
Space group R-3 (No. 148, hexagonal axes)
One atom of each set of equivalent atoms:
La 0.0000 0.0000 0.0000
Al 0.0000 0.0000 0.5000
Si 0.0000 0.0000 0.2889
Au 0.0588 0.5926 0.0688

No. 2
## La2Al4Si3Au (PBE)

Data for a relaxed La2Al4Si3Au crystal.

DFT total energy = -4.865 eV/atom

Lattice parameters (Å, degrees): 4.231 4.231 11.103 90.00 90.00 90.00
Space group P-4m2 (No. 115)
One atom of each set of equivalent atoms:
La 0.000 0.500 0.250
Al 0.000 0.000 0.000
Al 0.000 0.500 0.632
Al 0.500 0.500 0.000
Si 0.000 0.500 0.861
Si 0.500 0.500 0.500
Au 0.000 0.000 0.500

No. 3
## La2AlSiAu6 (PBE)

Data for a relaxed La2AlSiAu6 crystal.

DFT total energy = -4.424 eV/atom

Lattice parameters (Å, degrees): 6.758 6.773 6.814 60.71 60.32 60.32
Space group P-1 (No. 2)
One atom of each set of equivalent atoms:
La 0.202 0.202 0.396
Al 0.500 0.500 0.500
Si 0.000 0.000 0.000
Au 0.162 0.671 0.833
Au 0.323 0.668 0.172
Au 0.335 0.162 0.830

No. 4
## La2AlSi3Au4 (PBE)

Data for a relaxed La2AlSi3Au4 crystal.

DFT total energy = -4.983 eV/atom

Lattice parameters (Å, degrees): 4.377 4.377 10.512 90.00 90.00 90.00
Space group P-4m2 (No. 115)
One atom of each set of equivalent atoms:
La 0.000 0.500 0.245
Al 0.000 0.000 0.500
Si 0.000 0.500 0.867
Si 0.500 0.500 0.500
Au 0.000 0.000 0.000
Au 0.000 0.500 0.630
Au 0.500 0.500 0.000

No. 5
## LaSm2AlAu4 (PBE)

Data for a relaxed LaSm2AlAu4 crystal.

Formation energy = -0.7148 eV per atom

Lattice parameters (Å, degrees): 5.0882 5.0882 25.6873 90.00 90.00 120.00
Space group R-3m (No. 166, hexagonal axes)
One atom of each set of equivalent atoms:
La 0.0000 0.0000 0.0000
Sm 0.0000 0.0000 0.2364
Al 0.0000 0.0000 0.5000
Au 0.0000 0.0000 0.1195
Au 0.0000 0.0000 0.3941

No. 6
## La2SmAl4Au3 (PBE)

Data for a relaxed La2SmAl4Au3 crystal.

Formation energy = -0.6211 eV per atom

Lattice parameters (Å, degrees): 4.435 4.435 11.776 90.00 90.00 90.00
Space group P-4m2 (No. 115)
One atom of each set of equivalent atoms:
La 0.000 0.500 0.230
Sm 0.000 0.000 0.500
Al 0.000 0.000 0.000
Al 0.000 0.500 0.670
Al 0.500 0.500 0.000
Au 0.000 0.500 0.883
Au 0.500 0.500 0.500

No. 7
## LaSmAlAu (PBE)

Data for a relaxed LaSmAlAu crystal.

Formation energy = -0.4946 eV per atom

Lattice parameters (Å, degrees): 7.529 7.529 7.529 90.00 90.00 90.00
Space group F-43m (No. 216)
One atom of each set of equivalent atoms:
La 0.000 0.000 0.000
Sm 0.000 0.000 0.500
Al 0.250 0.250 0.750
Au 0.250 0.250 0.250

No. 8
## La2Al3SnAu4 (PBE)

Data for a relaxed La2Al3SnAu4 crystal.

Formation energy = -0.7190 eV per atom

Lattice parameters (Å, degrees): 4.531 4.531 10.719 90.00 90.00 90.00
Space group P-4m2 (No. 115)
One atom of each set of equivalent atoms:
La 0.000 0.500 0.242
Al 0.000 0.500 0.878
Al 0.500 0.500 0.500
Sn 0.000 0.000 0.500
Au 0.000 0.000 0.000
Au 0.000 0.500 0.643
Au 0.500 0.500 0.000

No. 9
## La2AlSnAu6 (PBE)

Data for a relaxed La2AlSnAu6 crystal.

Formation energy = -0.5656 eV per atom

Lattice parameters (Å, degrees): 5.837 8.883 9.287 90.00 90.00 90.00
Space group Pmmn (No. 59, origin choice 2)
One atom of each set of equivalent atoms:
La 0.250 0.002 0.239
Al 0.250 0.750 0.747
Sn 0.250 0.250 0.783
Au 0.004 0.750 0.969
Au 0.006 0.250 0.483
Au 0.250 0.004 0.608

No. 10
## La2AlSn2Au4 (PBE)

Data for a relaxed La2AlSn2Au4 crystal.

Formation energy = -0.6304 eV per atom

Lattice parameters (Å, degrees): 6.661 6.661 9.733 90.00 90.00 90.00
Space group I4/mmm (No. 139)
One atom of each set of equivalent atoms:
La 0.000 0.500 0.250
Al 0.000 0.000 0.000
Sn 0.000 0.000 0.305
Au 0.233 0.233 0.500

No. 11
## LaTbAlAu (PBE)

Data for a relaxed LaTbAlAu crystal.

Formation energy = -0.5077 eV per atom

Lattice parameters (Å, degrees): 7.475 7.475 7.475 90.00 90.00 90.00
Space group F-43m (No. 216)
One atom of each set of equivalent atoms:
La 0.000 0.000 0.000
Tb 0.000 0.000 0.500
Al 0.250 0.250 0.750
Au 0.250 0.250 0.250

No. 12
## LaTb2AlAu4 (PBE)

Data for a relaxed LaTb2AlAu4 crystal.

Formation energy = -0.7374 eV per atom

Lattice parameters (Å, degrees): 5.0005 5.0005 25.9096 90.00 90.00 120.00
Space group R-3m (No. 166, hexagonal axes)
One atom of each set of equivalent atoms:
La 0.0000 0.0000 0.0000
Tb 0.0000 0.0000 0.2359
Al 0.0000 0.0000 0.5000
Au 0.0000 0.0000 0.1205
Au 0.0000 0.0000 0.3956

No. 13
## La2AlTe5Au (PBE)

Data for a relaxed La2AlTe5Au crystal.

DFT total energy = -4.626 eV/atom

Lattice parameters (Å, degrees): 4.477 19.586 12.841 90.00 90.00 90.00
Space group Cmc2_1 (No. 36)
One atom of each set of equivalent atoms:
La 0.000 0.115 0.000
La 0.000 0.124 0.619
Al 0.000 0.413 0.788
Te 0.000 0.040 0.385
Te 0.000 0.306 0.658
Te 0.000 0.317 0.957
Te 0.000 0.369 0.311
Te 0.000 0.494 0.611
Au 0.000 0.261 0.440

No. 14
## La2TiAl4Au3 (PBE)

Data for a relaxed La2TiAl4Au3 crystal.

Formation energy = -0.6343 eV per atom

Lattice parameters (Å, degrees): 4.361 4.361 11.154 90.00 90.00 90.00
Space group P-4m2 (No. 115)
One atom of each set of equivalent atoms:
La 0.000 0.500 0.250
Ti 0.000 0.000 0.500
Al 0.000 0.000 0.000
Al 0.000 0.500 0.640
Al 0.500 0.500 0.000
Au 0.000 0.500 0.872
Au 0.500 0.500 0.500

No. 15
## LaTmAl2Au5 (PBE)

Data for a relaxed LaTmAl2Au5 crystal.

Formation energy = -0.5772 eV per atom

Lattice parameters (Å, degrees): 4.812 4.812 8.310 90.00 90.00 90.00
Space group P4/mmm (No. 123)
One atom of each set of equivalent atoms:
La 0.000 0.000 0.000
Tm 0.000 0.000 0.500
Al 0.500 0.500 0.344
Au 0.000 0.500 0.250
Au 0.500 0.500 0.000

No. 16
## La2TmAl4Au3 (PBE)

Data for a relaxed La2TmAl4Au3 crystal.

Formation energy = -0.6528 eV per atom

Lattice parameters (Å, degrees): 4.395 4.395 11.695 90.00 90.00 90.00
Space group P-4m2 (No. 115)
One atom of each set of equivalent atoms:
La 0.000 0.500 0.234
Tm 0.000 0.000 0.500
Al 0.000 0.000 0.000
Al 0.000 0.500 0.664
Al 0.500 0.500 0.000
Au 0.000 0.500 0.880
Au 0.500 0.500 0.500

No. 17
## La2TmAlAu6 (PBE)

Data for a relaxed La2TmAlAu6 crystal.

Formation energy = -0.6738 eV per atom

Lattice parameters (Å, degrees): 5.526 5.629 8.193 105.78 103.64 99.14
Space group P-1 (No. 2)
One atom of each set of equivalent atoms:
La 0.058 0.333 0.193
Tm 0.500 0.000 0.500
Al 0.500 0.500 0.000
Au 0.065 0.142 0.692
Au 0.362 0.549 0.625
Au 0.413 0.927 0.134

No. 18
## LaTmAlAu (PBE)

Data for a relaxed LaTmAlAu crystal.

Formation energy = -0.5164 eV per atom

Lattice parameters (Å, degrees): 7.416 7.416 7.416 90.00 90.00 90.00
Space group F-43m (No. 216)
One atom of each set of equivalent atoms:
La 0.000 0.000 0.000
Tm 0.000 0.000 0.500
Al 0.250 0.250 0.250
Au 0.250 0.250 0.750

No. 19
## La2TmAl3Au4 (PBE)

Data for a relaxed La2TmAl3Au4 crystal.

Formation energy = -0.7312 eV per atom

Lattice parameters (Å, degrees): 4.565 4.565 10.880 90.00 90.00 90.00
Space group P-4m2 (No. 115)
One atom of each set of equivalent atoms:
La 0.000 0.500 0.229
Tm 0.000 0.000 0.500
Al 0.000 0.500 0.880
Al 0.500 0.500 0.500
Au 0.000 0.000 0.000
Au 0.000 0.500 0.649
Au 0.500 0.500 0.000

No. 20
## LaAl2VAu (PBE)

Data for a relaxed LaAl2VAu crystal.

Formation energy = -0.0210 eV per atom

Lattice parameters (Å, degrees): 4.811 4.811 4.956 90.00 90.00 90.00
Space group P4/mmm (No. 123)
One atom of each set of equivalent atoms:
La 0.000 0.000 0.000
Al 0.000 0.500 0.500
V 0.500 0.500 0.500
Au 0.500 0.500 0.000